Tl2SnB2: optimized geometry, PBE.

Calculated values
Total energy in eV/atom: -3.435

abc: 5.962 5.962 5.962
angles: 135.51 135.51 64.74
Element x y z (fractional)
Tl1 0.250 0.750 0.500
Tl2 0.750 0.250 0.500
Sn1 0.000 0.000 0.000
B1 0.419 0.419 0.000
B2 0.581 0.581 0.000